No. 1
# GGA-PBE Nd2MgRh, optimized geometry
data_Nd2MgRh
_chemical_formula_sum 'Nd8 Mg4 Rh4'
_symmetry_space_group_name_H-M 'F m -3 m'
_symmetry_Int_Tables_number 225
_symmetry_space_group_name_Hall '-F 4 2 3'
_cell_length_a 7.381
_cell_length_b 7.381
_cell_length_c 7.381
_cell_angle_alpha 90.00
_cell_angle_beta 90.00
_cell_angle_gamma 90.00
loop_
_atom_site_label
_atom_site_fract_x
_atom_site_fract_y
_atom_site_fract_z
Nd1 0.250 0.250 0.250
Mg1 0.000 0.000 0.000
Rh1 0.000 0.000 0.500
# - formation enthalpy at 0 K (eV per atom) = -0.2933
# - V (Å³/f.u.) = 100.53
# - energy relative to the lowest polymorph listed for this composition (meV/atom) = 75
# - E (eV per atom) = -4.9137

No. 2
# GGA-PBE Nd5Mg2Rh4, optimized geometry
data_Nd5Mg2Rh4
_chemical_formula_sum 'Nd10 Mg4 Rh8'
_symmetry_space_group_name_H-M 'C 1 2/m 1'
_symmetry_Int_Tables_number 12
_cell_length_a 20.089
_cell_length_b 4.024
_cell_length_c 7.387
_cell_angle_alpha 90.00
_cell_angle_beta 111.46
_cell_angle_gamma 90.00
loop_
_symmetry_equiv_pos_as_xyz
'x,y,z'
'-x,-y,-z'
'-x,y,-z'
'x,-y,z'
'x+1/2,y+1/2,z'
'-x+1/2,-y+1/2,-z'
'-x+1/2,y+1/2,-z'
'x+1/2,-y+1/2,z'
loop_
_atom_site_label
_atom_site_fract_x
_atom_site_fract_y
_atom_site_fract_z
Nd1 0.000 0.000 0.000
Nd2 0.163 0.500 0.411
Nd3 0.164 0.500 0.916
Mg1 0.070 0.000 0.571
Rh1 0.000 0.500 0.303
Rh2 0.213 0.000 0.713
# - formation enthalpy at 0 K (eV per atom) = -0.4779
# - V (Å³/f.u.) = 277.86
# - E (eV per atom) = -5.6083

No. 3
# GGA-PBE Nd2MgSb4Rh3, optimized geometry
data_Nd2MgSb4Rh3
_chemical_formula_sum 'Nd2 Mg1 Sb4 Rh3'
_symmetry_space_group_name_H-M 'P -4 m 2'
_symmetry_Int_Tables_number 115
_cell_length_a 4.474
_cell_length_b 4.474
_cell_length_c 11.267
_cell_angle_alpha 90.00
_cell_angle_beta 90.00
_cell_angle_gamma 90.00
loop_
_symmetry_equiv_pos_as_xyz
'x,y,z'
'y,-x,-z'
'-x,-y,z'
'-y,x,-z'
'-x,y,z'
'-y,-x,-z'
'x,-y,z'
'y,x,-z'
loop_
_atom_site_label
_atom_site_fract_x
_atom_site_fract_y
_atom_site_fract_z
Nd1 0.000 0.500 0.242
Mg1 0.000 0.000 0.500
Sb1 0.000 0.000 0.000
Sb2 0.000 0.500 0.646
Sb3 0.500 0.500 0.000
Rh1 0.000 0.500 0.876
Rh2 0.500 0.500 0.500
# - formation energy (no corrections) (meV per atom) = -748
# - V (Å³/f.u.) = 225.57
# - E (eV per atom) = -5.7159